A plane-wave DFT calculation with PBE was carried out for a relaxed MnMoPb2 crystal.

```
MnMoPb2
1.0
0.0000 3.3562 3.3562
3.3562 0.0000 3.3562
3.3562 3.3562 0.0000
Mn Mo Pb
1 1 2
Cartesian
0.0000 0.0000 0.0000
3.3562 3.3562 3.3562
1.6781 1.6781 1.6781
5.0343 5.0343 5.0343
```

Results
space-group type	No. 225
total magnetic moment	0.0	μB/f.u.
ΔH_f (0 K)	0.988	eV/atom
D(E_F)	3.9645	states/eV per atom